[1]
Below is a PBEsol-optimized structure of CrNiAu2, with properties calculated at the SCAN level.

Energy of formation from the pure elements (meV/atom): -47
V (Å³/cell): 57.8

a = 3.8296 Å, b = 3.8296 Å, c = 4.7800 Å
α = 113.61°, β = 113.61°, γ = 90.00°
Last column: magnetic moment on the atom in μB.
Fractional coordinates of all 4 atoms:
Au: 0.0000 0.0000 0.0000  0.04
Au: 0.7500 0.2500 0.5000  0.04
Cr: 0.5000 0.5000 0.0000  3.47
Ni: 0.2500 0.7500 0.5000  0.00



[2]
Below is a PBEsol-optimized structure of CrNiAu4, with properties calculated at the SCAN level.

Energy of formation from the pure elements (meV/atom): 305
V (Å³/cell): 105.3

a = 5.3006 Å, b = 5.3006 Å, c = 5.3006 Å
α = 60.00°, β = 60.00°, γ = 60.00°
Last column: magnetic moment on the atom in μB.
Fractional coordinates of all 6 atoms:
Au: 0.3749 0.3749 0.3749  0.03
Au: 0.3749 0.3749 0.8754  0.03
Au: 0.8754 0.3749 0.3749  0.03
Au: 0.3749 0.8754 0.3749  0.03
Cr: 0.7500 0.7500 0.7500  4.03
Ni: 0.0000 0.0000 0.0000  -0.81



[3]
Below is a PBEsol-optimized structure of CrNi2Au, with properties calculated at the SCAN level.

Energy of formation from the pure elements (meV/atom): -1
V (Å³/cell): 49.7

a = 3.7225 Å, b = 3.7225 Å, c = 4.4493 Å
α = 114.73°, β = 114.73°, γ = 90.00°
Last column: magnetic moment on the atom in μB.
Fractional coordinates of all 4 atoms:
Au: 0.0000 0.0000 0.0000  0.01
Cr: 0.5000 0.5000 0.0000  2.89
Ni: 0.2500 0.7500 0.5000  -0.14
Ni: 0.7500 0.2500 0.5000  -0.14



Look up the V of the second one.
105.3 Å³/cell